# AlCr2C PBE-GGA relaxed
# ΔE to the lowest computed polymorph   1.249 eV/atom
data_AlCr2C
_cell_length_a 5.6270
_cell_length_b 5.6270
_cell_length_c 5.6270
_cell_angle_alpha 90.00
_cell_angle_beta 90.00
_cell_angle_gamma 90.00
_space_group_name_H-M_alt 'F m -3 m'
_space_group_IT_number 225
_space_group_name_Hall '-F 4 2 3'
loop_
_atom_site_label
_atom_site_type_symbol
_atom_site_fract_x
_atom_site_fract_y
_atom_site_fract_z
Al1 Al 0.0000 0.0000 0.0000
Cr1 Cr 0.2500 0.2500 0.2500
C1 C 0.0000 0.0000 0.5000

=====

# AlCr2C PBE-GGA relaxed
# ΔE to the lowest computed polymorph   0.466 eV/atom
data_AlCr2C
_cell_length_a 6.5181
_cell_length_b 6.5181
_cell_length_c 4.2335
_cell_angle_alpha 90.00
_cell_angle_beta 90.00
_cell_angle_gamma 90.00
_space_group_name_H-M_alt 'I -4 2 d'
_space_group_IT_number 122
_space_group_name_Hall 'I -4 2bw'
loop_
_atom_site_label
_atom_site_type_symbol
_atom_site_fract_x
_atom_site_fract_y
_atom_site_fract_z
Al1 Al 0.0000 0.0000 0.0000
Cr1 Cr 0.1571 0.2500 0.6250
C1 C 0.0000 0.0000 0.5000

=====

# AlCrFe2C PBE-GGA relaxed
# Uncorrected energy   -8.03 eV/atom
data_AlCrFe2C
_cell_length_a 3.7611
_cell_length_b 3.7611
_cell_length_c 3.8603
_cell_angle_alpha 90.00
_cell_angle_beta 90.00
_cell_angle_gamma 90.00
_space_group_name_H-M_alt 'P 4/m m m'
_space_group_IT_number 123
_space_group_name_Hall '-P 4 2'
loop_
_atom_site_label
_atom_site_type_symbol
_atom_site_fract_x
_atom_site_fract_y
_atom_site_fract_z
Al1 Al 0.0000 0.0000 0.0000
Cr1 Cr 0.5000 0.5000 0.0000
Fe1 Fe 0.0000 0.5000 0.5000
C1 C 0.5000 0.5000 0.5000

=====

# AlCrFeC2 PBE-GGA relaxed
# Uncorrected energy   -6.68 eV/atom
data_AlCrFeC2
_cell_length_a 3.6802
_cell_length_b 3.6802
_cell_length_c 4.7035
_cell_angle_alpha 90.00
_cell_angle_beta 90.00
_cell_angle_gamma 90.00
_space_group_name_H-M_alt 'P 4/m m m'
_space_group_IT_number 123
_space_group_name_Hall '-P 4 2'
loop_
_atom_site_label
_atom_site_type_symbol
_atom_site_fract_x
_atom_site_fract_y
_atom_site_fract_z
Al1 Al 0.0000 0.0000 0.0000
Cr1 Cr 0.5000 0.5000 0.0000
Fe1 Fe 0.0000 0.0000 0.5000
C1 C 0.0000 0.5000 0.5000

=====

# AlCr2FeC PBE-GGA relaxed
# Uncorrected energy   -8.22 eV/atom
data_AlCr2FeC
_cell_length_a 3.8895
_cell_length_b 3.8895
_cell_length_c 3.7551
_cell_angle_alpha 90.00
_cell_angle_beta 90.00
_cell_angle_gamma 90.00
_space_group_name_H-M_alt 'P 4/m m m'
_space_group_IT_number 123
_space_group_name_Hall '-P 4 2'
loop_
_atom_site_label
_atom_site_type_symbol
_atom_site_fract_x
_atom_site_fract_y
_atom_site_fract_z
Al1 Al 0.0000 0.0000 0.0000
Cr1 Cr 0.0000 0.5000 0.5000
Fe1 Fe 0.5000 0.5000 0.0000
C1 C 0.5000 0.5000 0.5000

=====

# AlCr4GaC2 PBE-GGA relaxed
# Uncorrected energy   -8.13 eV/atom
data_AlCr4GaC2
_cell_length_a 2.8559
_cell_length_b 2.8559
_cell_length_c 12.6130
_cell_angle_alpha 90.00
_cell_angle_beta 90.00
_cell_angle_gamma 120.00
_space_group_name_H-M_alt 'P -6 m 2'
_space_group_IT_number 187
_space_group_name_Hall 'P -6 2'
loop_
_atom_site_label
_atom_site_type_symbol
_atom_site_fract_x
_atom_site_fract_y
_atom_site_fract_z
Al1 Al 0.0000 0.0000 0.0000
Cr1 Cr 0.0000 0.0000 0.3358
Cr2 Cr 0.6667 0.3333 0.1662
Ga1 Ga 0.6667 0.3333 0.5000
C1 C 0.3333 0.6667 0.2510

=====

# LaAl2CrC PBE-GGA relaxed
# Uncorrected energy   -4.94 eV/atom
data_LaAl2CrC
_cell_length_a 4.6593
_cell_length_b 4.6593
_cell_length_c 5.0762
_cell_angle_alpha 90.00
_cell_angle_beta 90.00
_cell_angle_gamma 90.00
_space_group_name_H-M_alt 'P 4/m m m'
_space_group_IT_number 123
_space_group_name_Hall '-P 4 2'
loop_
_atom_site_label
_atom_site_type_symbol
_atom_site_fract_x
_atom_site_fract_y
_atom_site_fract_z
La1 La 0.0000 0.0000 0.0000
Al1 Al 0.0000 0.5000 0.5000
Cr1 Cr 0.0000 0.0000 0.5000
C1 C 0.5000 0.5000 0.0000

=====

# Mn2AlCrC PBE-GGA relaxed
# Uncorrected energy   -8.32 eV/atom
data_Mn2AlCrC
_cell_length_a 3.7954
_cell_length_b 3.7954
_cell_length_c 3.9552
_cell_angle_alpha 90.00
_cell_angle_beta 90.00
_cell_angle_gamma 90.00
_space_group_name_H-M_alt 'P 4/m m m'
_space_group_IT_number 123
_space_group_name_Hall '-P 4 2'
loop_
_atom_site_label
_atom_site_type_symbol
_atom_site_fract_x
_atom_site_fract_y
_atom_site_fract_z
Mn1 Mn 0.0000 0.5000 0.0000
Al1 Al 0.0000 0.0000 0.5000
Cr1 Cr 0.5000 0.5000 0.5000
C1 C 0.5000 0.5000 0.0000

=====

We obtain volume values of 11.1 11.2 10.9 12.7 11.4 11.1 22.0 11.4 Å³/atom for the records listed above, in that order.
We obtain DOS at the Fermi energy values of 13.4 21.2 3.9 3.3 5.7 5.9 3.8 3.9 states/eV/cell for the records listed above, in that order.